a:
# NpTaNb2 GGA-PBE optimized geometry
# - total magnetization (μB/f.u.) = 3.24
data_NpTaNb2
_chemical_formula_sum 'Np1 Ta1 Nb2'
_space_group_name_H-M_alt 'P 4/m m m'
_space_group_IT_number 123
_space_group_name_Hall '-P 4 2'
_cell_length_a 4.8494
_cell_length_b 4.8494
_cell_length_c 3.2574
_cell_angle_alpha 90.00
_cell_angle_beta 90.00
_cell_angle_gamma 90.00
loop_
_atom_site_label
_atom_site_type_symbol
_atom_site_fract_x
_atom_site_fract_y
_atom_site_fract_z
_atom_site_occupancy
Np1 Np 0.0000 0.0000 0.0000 1
Ta1 Ta 0.5000 0.5000 0.0000 1
Nb1 Nb 0.0000 0.5000 0.5000 1

b:
# NpTaNb2 GGA-PBE optimized geometry
# - total magnetization (μB/f.u.) = 2.85
data_NpTaNb2
_chemical_formula_sum 'Np1 Ta1 Nb2'
_space_group_name_H-M_alt 'P 4/m m m'
_space_group_IT_number 123
_space_group_name_Hall '-P 4 2'
_cell_length_a 3.3385
_cell_length_b 3.3385
_cell_length_c 6.7970
_cell_angle_alpha 90.00
_cell_angle_beta 90.00
_cell_angle_gamma 90.00
loop_
_atom_site_label
_atom_site_type_symbol
_atom_site_fract_x
_atom_site_fract_y
_atom_site_fract_z
_atom_site_occupancy
Np1 Np 0.0000 0.0000 0.0000 1
Ta1 Ta 0.0000 0.0000 0.5000 1
Nb1 Nb 0.5000 0.5000 0.2513 1

Bottom line: b, by a margin of 20 meV per atom.

a:
# NpTaNb2 GGA-PBE optimized geometry
# - total magnetization (μB/f.u.) = 2.90
data_NpTaNb2
_chemical_formula_sum 'Np3 Ta3 Nb6'
_space_group_name_H-M_alt 'R -3 m'
_space_group_IT_number 166
_space_group_name_Hall '-R 3 2"'
_cell_length_a 2.8769
_cell_length_b 2.8769
_cell_length_c 32.5638
_cell_angle_alpha 90.00
_cell_angle_beta 90.00
_cell_angle_gamma 120.00
loop_
_atom_site_label
_atom_site_type_symbol
_atom_site_fract_x
_atom_site_fract_y
_atom_site_fract_z
_atom_site_occupancy
Np1 Np 0.0000 0.0000 0.0000 1
Ta1 Ta 0.0000 0.0000 0.5000 1
Nb1 Nb 0.0000 0.0000 0.2463 1

b:
# NpTaNb2 GGA-PBE optimized geometry
# - total magnetization (μB/f.u.) = 2.58
data_NpTaNb2
_chemical_formula_sum 'Np4 Ta4 Nb8'
_space_group_name_H-M_alt 'F m -3 m'
_space_group_IT_number 225
_space_group_name_Hall '-F 4 2 3'
_cell_length_a 6.7428
_cell_length_b 6.7428
_cell_length_c 6.7428
_cell_angle_alpha 90.00
_cell_angle_beta 90.00
_cell_angle_gamma 90.00
loop_
_atom_site_label
_atom_site_type_symbol
_atom_site_fract_x
_atom_site_fract_y
_atom_site_fract_z
_atom_site_occupancy
Np1 Np 0.0000 0.0000 0.0000 1
Ta1 Ta 0.0000 0.0000 0.5000 1
Nb1 Nb 0.2500 0.2500 0.2500 1

Bottom line: b, by a margin of 114 meV per atom.

a:
# NpNbTc2 GGA-PBE optimized geometry
# - total magnetization (μB/f.u.) = 2.19
data_NpNbTc2
_chemical_formula_sum 'Np1 Nb1 Tc2'
_space_group_name_H-M_alt 'P 4/m m m'
_space_group_IT_number 123
_space_group_name_Hall '-P 4 2'
_cell_length_a 4.6469
_cell_length_b 4.6469
_cell_length_c 3.2262
_cell_angle_alpha 90.00
_cell_angle_beta 90.00
_cell_angle_gamma 90.00
loop_
_atom_site_label
_atom_site_type_symbol
_atom_site_fract_x
_atom_site_fract_y
_atom_site_fract_z
_atom_site_occupancy
Np1 Np 0.0000 0.0000 0.0000 1
Nb1 Nb 0.5000 0.5000 0.0000 1
Tc1 Tc 0.0000 0.5000 0.5000 1

b:
# NpNbTc2 GGA-PBE optimized geometry
# - total magnetization (μB/f.u.) = 2.88
data_NpNbTc2
_chemical_formula_sum 'Np4 Nb4 Tc8'
_space_group_name_H-M_alt 'F m -3 m'
_space_group_IT_number 225
_space_group_name_Hall '-F 4 2 3'
_cell_length_a 6.5398
_cell_length_b 6.5398
_cell_length_c 6.5398
_cell_angle_alpha 90.00
_cell_angle_beta 90.00
_cell_angle_gamma 90.00
loop_
_atom_site_label
_atom_site_type_symbol
_atom_site_fract_x
_atom_site_fract_y
_atom_site_fract_z
_atom_site_occupancy
Np1 Np 0.0000 0.0000 0.0000 1
Nb1 Nb 0.0000 0.0000 0.5000 1
Tc1 Tc 0.2500 0.2500 0.2500 1

Bottom line: a, by a margin of 26 meV per atom.

a:
# NpNbTe2 GGA-PBE optimized geometry
# - total magnetization (μB/f.u.) = 5.05
data_NpNbTe2
_chemical_formula_sum 'Np3 Nb3 Te6'
_space_group_name_H-M_alt 'R -3 m'
_space_group_IT_number 166
_space_group_name_Hall '-R 3 2"'
_cell_length_a 3.5041
_cell_length_b 3.5041
_cell_length_c 30.5942
_cell_angle_alpha 90.00
_cell_angle_beta 90.00
_cell_angle_gamma 120.00
loop_
_atom_site_label
_atom_site_type_symbol
_atom_site_fract_x
_atom_site_fract_y
_atom_site_fract_z
_atom_site_occupancy
Np1 Np 0.0000 0.0000 0.0000 1
Nb1 Nb 0.0000 0.0000 0.5000 1
Te1 Te 0.0000 0.0000 0.1032 1

b:
# NpNbTe2 GGA-PBE optimized geometry
# - total magnetization (μB/f.u.) = 5.22
data_NpNbTe2
_chemical_formula_sum 'Np1 Nb1 Te2'
_space_group_name_H-M_alt 'P 4/m m m'
_space_group_IT_number 123
_space_group_name_Hall '-P 4 2'
_cell_length_a 3.5031
_cell_length_b 3.5031
_cell_length_c 7.5472
_cell_angle_alpha 90.00
_cell_angle_beta 90.00
_cell_angle_gamma 90.00
loop_
_atom_site_label
_atom_site_type_symbol
_atom_site_fract_x
_atom_site_fract_y
_atom_site_fract_z
_atom_site_occupancy
Np1 Np 0.0000 0.0000 0.0000 1
Nb1 Nb 0.0000 0.0000 0.5000 1
Te1 Te 0.5000 0.5000 0.2785 1

Bottom line: b, by a margin of 266 meV per atom.

a:
# ZrNpNb GGA-PBE optimized geometry
# - total magnetization (μB/f.u.) = 2.73
data_ZrNpNb
_chemical_formula_sum 'Zr2 Np2 Nb2'
_space_group_name_H-M_alt 'I 4 m m'
_space_group_IT_number 107
_space_group_name_Hall 'I 4 -2'
_cell_length_a 3.4510
_cell_length_b 3.4510
_cell_length_c 10.3995
_cell_angle_alpha 90.00
_cell_angle_beta 90.00
_cell_angle_gamma 90.00
loop_
_atom_site_label
_atom_site_type_symbol
_atom_site_fract_x
_atom_site_fract_y
_atom_site_fract_z
_atom_site_occupancy
Zr1 Zr 0.0000 0.0000 0.0000 1
Np1 Np 0.0000 0.0000 0.6776 1
Nb1 Nb 0.0000 0.0000 0.3186 1

b:
# ZrNpNb GGA-PBE optimized geometry
# - total magnetization (μB/f.u.) = 0.00
data_ZrNpNb
_chemical_formula_sum 'Zr2 Np2 Nb2'
_space_group_name_H-M_alt 'P m m a'
_space_group_IT_number 51
_space_group_name_Hall '-P 2a 2a'
_cell_length_a 4.7060
_cell_length_b 4.8414
_cell_length_c 5.8752
_cell_angle_alpha 90.00
_cell_angle_beta 90.00
_cell_angle_gamma 90.00
loop_
_atom_site_label
_atom_site_type_symbol
_atom_site_fract_x
_atom_site_fract_y
_atom_site_fract_z
_atom_site_occupancy
Zr1 Zr 0.2500 0.0000 0.2360 1
Np1 Np 0.0000 0.5000 0.5000 1
Nb1 Nb 0.2500 0.5000 0.9316 1

Bottom line: a, by a margin of 291 meV per atom.

a:
# NbOs3O GGA-PBE optimized geometry
# - total magnetization (μB/f.u.) = 6.00
data_NbOs3O
_chemical_formula_sum 'Nb1 Os3 O1'
_space_group_name_H-M_alt 'P m -3 m'
_space_group_IT_number 221
_space_group_name_Hall '-P 4 2 3'
_cell_length_a 4.8117
_cell_length_b 4.8117
_cell_length_c 4.8117
_cell_angle_alpha 90.00
_cell_angle_beta 90.00
_cell_angle_gamma 90.00
loop_
_atom_site_label
_atom_site_type_symbol
_atom_site_fract_x
_atom_site_fract_y
_atom_site_fract_z
_atom_site_occupancy
Nb1 Nb 0.0000 0.0000 0.0000 1
Os1 Os 0.0000 0.0000 0.5000 1
O1 O 0.5000 0.5000 0.5000 1

b:
# NbOs3O GGA-PBE optimized geometry
# - total magnetization (μB/f.u.) = 0.00
data_NbOs3O
_chemical_formula_sum 'Nb1 Os3 O1'
_space_group_name_H-M_alt 'P m -3 m'
_space_group_IT_number 221
_space_group_name_Hall '-P 4 2 3'
_cell_length_a 4.1170
_cell_length_b 4.1170
_cell_length_c 4.1170
_cell_angle_alpha 90.00
_cell_angle_beta 90.00
_cell_angle_gamma 90.00
loop_
_atom_site_label
_atom_site_type_symbol
_atom_site_fract_x
_atom_site_fract_y
_atom_site_fract_z
_atom_site_occupancy
Nb1 Nb 0.0000 0.0000 0.0000 1
Os1 Os 0.0000 0.5000 0.5000 1
O1 O 0.5000 0.5000 0.5000 1

Bottom line: b, by a margin of 2433 meV per atom.